Record 1
Ba2SrIr3O12: optimized geometry, GGA-PBE.

## Properties
raw formation energy	-1.4201	eV/atom
total DFT energy (no corrections)	-351.51	eV for the cell shown
crystal system	trigonal

abc: 7.3547 7.3547 16.7908
angles: 90.00 90.00 120.00
Space group R-3m (No. 166, hexagonal axes)
Unique sites:
Ba 0.0000 0.0000 0.1088 (multiplicity 6)
Sr 0.0000 0.0000 0.5000 (multiplicity 3)
Ir 0.0000 0.5000 0.0000 (multiplicity 9)
O 0.0487 0.5243 0.8904 (multiplicity 18)
O 0.0561 0.5281 0.3160 (multiplicity 18)



Record 2
Ca2Tl8Cd3: optimized geometry, GGA-PBE.

## Properties
E_form	-0.057	eV/atom
total DFT energy (no corrections)	-52.85	eV for the cell shown
crystal system	monoclinic

abc: 14.0316 8.6005 6.6123
angles: 90.00 99.69 90.00
Space group C2/m (No. 12)
Unique sites:
Ca 0.2043 0.0000 0.2836 (multiplicity 4)
Tl 0.0946 0.5000 0.8945 (multiplicity 4)
Tl 0.1110 0.3164 0.4205 (multiplicity 8)
Tl 0.1929 0.0000 0.7920 (multiplicity 4)
Cd 0.0000 0.0000 0.5000 (multiplicity 2)
Cd 0.0000 0.1711 0.0000 (multiplicity 4)



Record 3
TiBeP2: optimized geometry, GGA-PBE.

## Properties
E_form	-0.311	eV/atom
total DFT energy (no corrections)	-94.74	eV for the cell shown
crystal system	tetragonal

abc: 5.3677 5.3677 10.3787
angles: 90.00 90.00 90.00
Space group I-42d (No. 122)
Unique sites:
Ti 0.0000 0.0000 0.0000 (multiplicity 4)
Be 0.0000 0.0000 0.5000 (multiplicity 4)
P 0.2190 0.2500 0.6250 (multiplicity 8)



Record 4
GaCu2Os2: optimized geometry, GGA-PBE.

## Properties
E_form	0.539	eV/atom
polymorph energy (0 for the lowest one)	0.0	meV per atom
total DFT energy (no corrections)	-61.96	eV for the cell shown
crystal system	tetragonal

abc: 5.8939 5.8939 3.9114
angles: 90.00 90.00 90.00
Space group P4/mbm (No. 127)
Unique sites:
Ga 0.0000 0.0000 0.0000 (multiplicity 2)
Cu 0.1349 0.3651 0.0000 (multiplicity 4)
Os 0.1680 0.6680 0.5000 (multiplicity 4)



Record 5
YSc2TlB: optimized geometry, GGA-PBE.

## Properties
E_form	-0.312	eV/atom
total DFT energy (no corrections)	-29.73	eV for the cell shown
crystal system	tetragonal

abc: 4.7270 4.7270 5.0234
angles: 90.00 90.00 90.00
Space group P4/mmm (No. 123)
Unique sites:
Y 0.0000 0.0000 0.0000 (multiplicity 1)
Sc 0.0000 0.5000 0.5000 (multiplicity 2)
Tl 0.5000 0.5000 0.0000 (multiplicity 1)
B 0.0000 0.0000 0.5000 (multiplicity 1)



Record 6
MnRh2W: optimized geometry, GGA-PBE.

## Properties
E_form	-0.168	eV/atom
polymorph energy (0 for the lowest one)	0.0	meV per atom
total DFT energy (no corrections)	-37.50	eV for the cell shown
crystal system	tetragonal

abc: 3.8336 3.8336 3.8073
angles: 90.00 90.00 90.00
Space group P4/mmm (No. 123)
Unique sites:
Mn 0.0000 0.0000 0.0000 (multiplicity 1)
Rh 0.0000 0.5000 0.5000 (multiplicity 2)
W 0.5000 0.5000 0.0000 (multiplicity 1)



Record 7
BaMnInGa2: optimized geometry, GGA-PBE.

## Properties
E_form	-0.235	eV/atom
total DFT energy (no corrections)	-21.06	eV for the cell shown
crystal system	tetragonal

abc: 4.8319 4.8319 5.0538
angles: 90.00 90.00 90.00
Space group P4/mmm (No. 123)
Unique sites:
Ba 0.0000 0.0000 0.0000 (multiplicity 1)
Mn 0.5000 0.5000 0.5000 (multiplicity 1)
In 0.5000 0.5000 0.0000 (multiplicity 1)
Ga 0.0000 0.5000 0.5000 (multiplicity 2)



Record 8
Pu2SiB2Rh5: optimized geometry, GGA-PBE.

## Properties
raw formation energy	-0.5588	eV/atom
total DFT energy (no corrections)	-179.57	eV for the cell shown
crystal system	tetragonal

abc: 9.4410 9.4410 3.2260
angles: 90.00 90.00 90.00
Space group P4/mbm (No. 127)
Unique sites:
Pu 0.1771 0.3229 0.0000 (multiplicity 4)
Si 0.0000 0.0000 0.0000 (multiplicity 2)
B 0.1219 0.6219 0.0000 (multiplicity 4)
Rh 0.0000 0.5000 0.5000 (multiplicity 2)
Rh 0.0672 0.7859 0.5000 (multiplicity 8)



Record 9
Sn2Au2I: optimized geometry, GGA-PBE.

## Properties
raw formation energy	0.0051	eV/atom
polymorph energy (0 for the lowest one)	79.3	meV per atom
total DFT energy (no corrections)	-32.17	eV for the cell shown
crystal system	tetragonal

abc: 8.2716 8.2716 3.7261
angles: 90.00 90.00 90.00
Space group P4/mbm (No. 127)
Unique sites:
Sn 0.1509 0.3491 0.0000 (multiplicity 4)
Au 0.1347 0.6347 0.5000 (multiplicity 4)
I 0.0000 0.0000 0.5000 (multiplicity 2)



Record 10
Tl5Hg2Au: optimized geometry, GGA-PBE.

## Properties
E_form	-0.017	eV/atom
total DFT energy (no corrections)	-31.69	eV for the cell shown
crystal system	orthorhombic

abc: 6.8888 13.3535 4.9843
angles: 90.00 90.00 90.00
Space group Pbam (No. 55)
Unique sites:
Tl 0.0000 0.0000 0.0000 (multiplicity 2)
Tl 0.1103 0.2785 0.0000 (multiplicity 4)
Tl 0.1711 0.5940 0.5000 (multiplicity 4)
Hg 0.1293 0.8479 0.5000 (multiplicity 4)
Au 0.0000 0.5000 0.0000 (multiplicity 2)



Record 11
LiCe2HoS4: optimized geometry, GGA-PBE.

## Properties
raw formation energy	-1.8875	eV/atom
total DFT energy (no corrections)	-49.97	eV for the cell shown
crystal system	monoclinic

abc: 6.8207 3.9508 6.8615
angles: 90.00 109.46 90.00
Space group P2/m (No. 10)
Unique sites:
Li 0.0000 0.0000 0.0000 (multiplicity 1)
Ce 0.0000 0.5000 0.5000 (multiplicity 1)
Ce 0.5000 0.0000 0.5000 (multiplicity 1)
Ho 0.5000 0.5000 0.0000 (multiplicity 1)
S 0.2434 0.5000 0.2342 (multiplicity 2)
S 0.2516 0.0000 0.7661 (multiplicity 2)



Record 12
LaNd3Tm4: optimized geometry, GGA-PBE.

## Properties
E_form	0.142	eV/atom
polymorph energy (0 for the lowest one)	111.2	meV per atom
total DFT energy (no corrections)	-71.96	eV for the cell shown
crystal system	orthorhombic

abc: 3.4265 11.6730 13.2329
angles: 90.00 90.00 90.00
Space group Immm (No. 71)
Unique sites:
La 0.0000 0.0000 0.0000 (multiplicity 2)
Nd 0.0000 0.0000 0.5000 (multiplicity 2)
Nd 0.0000 0.5000 0.2571 (multiplicity 4)
Tm 0.0000 0.2506 0.1357 (multiplicity 8)